VASP calculation (PBE+U) on a relaxed structure of TlNi2F6.

## Properties
Its final energy is -4.069 eV per atom. The value obtained for the spin magnetization is 3.66 μB per formula unit. The crystal system is trigonal.

Lattice parameters (Å, degrees): 9.521 9.521 5.223 90.00 90.00 120.00
Element x y z (fractional)
Tl 0.000 0.000 0.000
Tl 0.333 0.667 0.509
Tl 0.667 0.333 0.491
Ni 0.000 0.342 0.000
Ni 0.000 0.658 0.000
Ni 0.342 0.000 0.000
Ni 0.342 0.342 0.000
Ni 0.658 0.000 0.000
Ni 0.658 0.658 0.000
F 0.082 0.541 0.215
F 0.117 0.234 0.203
F 0.117 0.883 0.203
F 0.210 0.419 0.808
F 0.210 0.790 0.808
F 0.234 0.117 0.797
F 0.419 0.210 0.192
F 0.459 0.541 0.215
F 0.459 0.918 0.215
F 0.541 0.082 0.785
F 0.541 0.459 0.785
F 0.581 0.790 0.808
F 0.766 0.883 0.203
F 0.790 0.210 0.192
F 0.790 0.581 0.192
F 0.883 0.117 0.797
F 0.883 0.766 0.797
F 0.918 0.459 0.785